This record from Alexandria via LeMat-Bulk describes AlTl2Ir after structural relaxation. The functional is GGA-PBE.

Unit cell a=3.245 b=4.941 c=5.102 alpha=90.00 beta=90.00 gamma=90.00
Space group Pmmm (No. 47)
Inequivalent atoms, fractional coordinates:
Al 0.000 0.000 0.000
Tl 0.000 0.500 0.500
Tl 0.500 0.500 0.000
Ir 0.500 0.000 0.500

- density of states at the Fermi level (states/eV per cell) = 1.72
- calculated volume (Å³ per cell) = 82
- energy above the most stable polymorph in this dataset (kJ/mol of formula units) = 218
- mass density (g/cm3) = 12.75